1.
PrCuGe: relaxed, PBE.

Unit cell a=7.1370 b=7.1370 c=4.2756 alpha=90.00 beta=90.00 gamma=120.00
Sites, in units of the cell vectors:
Pr (0.0000, 0.4163, 0.0000)
Pr (0.4163, 0.0000, 0.0000)
Pr (0.5837, 0.5837, 0.0000)
Cu (0.0000, 0.7590, 0.5000)
Cu (0.2410, 0.2410, 0.5000)
Cu (0.7590, 0.0000, 0.5000)
Ge (0.0000, 0.0000, 0.0000)
Ge (0.3333, 0.6667, 0.5000)
Ge (0.6667, 0.3333, 0.5000)

Crystal system: hexagonal
Total moment (μB per atom): 0.00
Energy (eV per cell): -44.19

=====

2.
Gd4AsSe3: relaxed, PBE.

Unit cell a=7.1464 b=7.1464 c=7.1464 alpha=131.91 beta=131.91 gamma=70.37
Sites, in units of the cell vectors:
Gd (0.0000, 0.5000, 0.5000)
Gd (0.2420, 0.2420, 0.0000)
Gd (0.5000, 0.0000, 0.5000)
Gd (0.7580, 0.7580, 0.0000)
As (0.0000, 0.0000, 0.0000)
Se (0.2500, 0.7500, 0.5000)
Se (0.5000, 0.5000, 0.0000)
Se (0.7500, 0.2500, 0.5000)

Crystal system: tetragonal
Total moment (μB per atom): 0.00
Energy (eV per cell): -47.90

=====

3.
TlReAg: relaxed, PBE.

Unit cell a=4.5713 b=4.5713 c=4.5713 alpha=60.00 beta=60.00 gamma=60.00
Sites, in units of the cell vectors:
Tl (0.0000, 0.0000, 0.0000)
Re (0.7500, 0.7500, 0.7500)
Ag (0.5000, 0.5000, 0.5000)

Energy above the lowest structure with this stoichiometry (meV per atom): 0
Crystal system: cubic
Total moment (μB per atom): 0.72
Energy (eV per cell): -13.59

=====

4.
SmTe3Pb2: relaxed, PBE.

Unit cell a=4.4484 b=4.4484 c=11.9625 alpha=90.00 beta=90.00 gamma=120.00
Sites, in units of the cell vectors:
Sm (0.0000, 0.0000, 0.0000)
Te (0.0000, 0.0000, 0.5000)
Te (0.3333, 0.6667, 0.1535)
Te (0.6667, 0.3333, 0.8465)
Pb (0.3333, 0.6667, 0.6644)
Pb (0.6667, 0.3333, 0.3356)

Crystal system: trigonal
Total moment (μB per atom): 0.00
Energy (eV per cell): -25.59

=====

5.
PaTc4P: relaxed, PBE.

Unit cell a=5.1952 b=5.1952 c=4.2421 alpha=90.00 beta=90.00 gamma=91.49
Sites, in units of the cell vectors:
Pa (0.0000, 0.0000, 0.0000)
Tc (0.1952, 0.1952, 0.5000)
Tc (0.3290, 0.6710, 0.0000)
Tc (0.6710, 0.3290, 0.0000)
Tc (0.8048, 0.8048, 0.5000)
P (0.5000, 0.5000, 0.5000)

Crystal system: orthorhombic
Total moment (μB per atom): 0.01
Energy (eV per cell): -51.43

=====

6.
Re2BPt: relaxed, PBE.

Unit cell a=4.2576 b=4.2576 c=4.2576 alpha=60.00 beta=60.00 gamma=60.00
Sites, in units of the cell vectors:
Re (0.0000, 0.0000, 0.0000)
Re (0.2500, 0.2500, 0.2500)
B (0.5000, 0.5000, 0.5000)
Pt (0.7500, 0.7500, 0.7500)

Crystal system: cubic
Total moment (μB per atom): 0.01
Energy (eV per cell): -34.13

=====

7.
HoCuTe2: relaxed, PBE.

Unit cell a=4.3568 b=4.3568 c=6.8810 alpha=90.00 beta=90.00 gamma=120.00
Sites, in units of the cell vectors:
Ho (0.0000, 0.0000, 0.0000)
Cu (0.3333, 0.6667, 0.6297)
Te (0.3333, 0.6667, 0.2457)
Te (0.6667, 0.3333, 0.7248)

Crystal system: trigonal
Total moment (μB per atom): 0.00
Energy (eV per cell): -18.08

=====

8.
ZnNiBPt: relaxed, PBE.

Unit cell a=4.0475 b=4.0475 c=4.0475 alpha=60.00 beta=60.00 gamma=60.00
Sites, in units of the cell vectors:
Zn (0.0000, 0.0000, 0.0000)
Ni (0.2500, 0.2500, 0.2500)
B (0.7500, 0.7500, 0.7500)
Pt (0.5000, 0.5000, 0.5000)

Energy above the lowest structure with this stoichiometry (meV per atom): 131
Crystal system: cubic
Total moment (μB per atom): 0.00
Energy (eV per cell): -18.42